No. 1
Density functional theory data (PBE+U) for a relaxed CrGa2F8 crystal.

Geometry as CIF:
```
data_CrGa2F8
_chemical_formula_sum 'Cr1 Ga2 F8'
_cell_length_a 3.9199
_cell_length_b 6.0668
_cell_length_c 6.8500
_cell_angle_alpha 63.95
_cell_angle_beta 88.83
_cell_angle_gamma 89.72
_space_group_name_H-M_alt 'P -1'
_space_group_IT_number 2
_space_group_name_Hall '-P 1'
loop_
_atom_site_label
_atom_site_fract_x
_atom_site_fract_y
_atom_site_fract_z
Cr1 0.0000 0.0000 0.0000
Ga1 0.2404 0.3417 0.3158
F1 0.2324 0.2048 0.6058
F2 0.2527 0.6768 0.1511
F3 0.2554 0.1572 0.1620
F4 0.2583 0.6525 0.7000
```

* DOS(E_F): 0.00 states/eV per cell
* E above lowest polymorph: 0.0000 eV per atom

=====

No. 2
Density functional theory data (PBE+U) for a relaxed CrGaF3 crystal.

Geometry as CIF:
```
data_CrGaF3
_chemical_formula_sum 'Cr1 Ga1 F3'
_cell_length_a 4.1849
_cell_length_b 4.1849
_cell_length_c 4.1849
_cell_angle_alpha 90.00
_cell_angle_beta 90.00
_cell_angle_gamma 90.00
_space_group_name_H-M_alt 'P m -3 m'
_space_group_IT_number 221
_space_group_name_Hall '-P 4 2 3'
loop_
_atom_site_label
_atom_site_fract_x
_atom_site_fract_y
_atom_site_fract_z
Cr1 0.0000 0.0000 0.0000
Ga1 0.5000 0.5000 0.5000
F1 0.0000 0.5000 0.5000
```

* DOS(E_F): 0.71 states/eV per cell
* E above lowest polymorph: 0.5028 eV per atom

=====

No. 3
Density functional theory data (PBE+U) for a relaxed CrGaF5 crystal.

Geometry as CIF:
```
data_CrGaF5
_chemical_formula_sum 'Cr4 Ga4 F20'
_cell_length_a 8.6343
_cell_length_b 6.3708
_cell_length_c 7.5822
_cell_angle_alpha 90.00
_cell_angle_beta 115.99
_cell_angle_gamma 90.00
_space_group_name_H-M_alt 'C 1 2/c 1'
_space_group_IT_number 15
_space_group_name_Hall '-C 2yc'
loop_
_atom_site_label
_atom_site_fract_x
_atom_site_fract_y
_atom_site_fract_z
Cr1 0.0000 0.0248 0.2500
Ga1 0.0000 0.5000 0.0000
F1 0.0000 0.4419 0.2500
F2 0.0123 0.2027 0.9804
F3 0.2438 0.4778 0.6251
```

* DOS(E_F): 0.00 states/eV per cell
* DFT total energy: -5.4219 eV per atom

=====

No. 4
Density functional theory data (PBE+U) for a relaxed CrGa2F8 crystal.

Geometry as CIF:
```
data_CrGa2F8
_chemical_formula_sum 'Cr2 Ga4 F16'
_cell_length_a 8.1249
_cell_length_b 6.3670
_cell_length_c 5.2171
_cell_angle_alpha 90.00
_cell_angle_beta 100.15
_cell_angle_gamma 90.00
_space_group_name_H-M_alt 'C 1 2/m 1'
_space_group_IT_number 12
_space_group_name_Hall '-C 2y'
loop_
_atom_site_label
_atom_site_fract_x
_atom_site_fract_y
_atom_site_fract_z
Cr1 0.0000 0.0000 0.0000
Ga1 0.1850 0.5000 0.4502
F1 0.0601 0.5000 0.7280
F2 0.1411 0.1904 0.3327
F3 0.1989 0.0000 0.8277
```

* DOS(E_F): 0.00 states/eV per cell
* E above lowest polymorph: 0.0090 eV per atom

=====

No. 5
Density functional theory data (PBE+U) for a relaxed Cr2GaF crystal.

Geometry as CIF:
```
data_Cr2GaF
_chemical_formula_sum 'Cr8 Ga4 F4'
_cell_length_a 6.4282
_cell_length_b 6.4282
_cell_length_c 6.4282
_cell_angle_alpha 90.00
_cell_angle_beta 90.00
_cell_angle_gamma 90.00
_space_group_name_H-M_alt 'F m -3 m'
_space_group_IT_number 225
_space_group_name_Hall '-F 4 2 3'
loop_
_atom_site_label
_atom_site_fract_x
_atom_site_fract_y
_atom_site_fract_z
Cr1 0.2500 0.2500 0.2500
Ga1 0.0000 0.0000 0.0000
F1 0.0000 0.0000 0.5000
```

* DOS(E_F): 6.59 states/eV per cell
* E above lowest polymorph: 0.2161 eV per atom

=====

No. 6
Density functional theory data (PBE+U) for a relaxed CrGa3F crystal.

Geometry as CIF:
```
data_CrGa3F
_chemical_formula_sum 'Cr1 Ga3 F1'
_cell_length_a 4.4069
_cell_length_b 4.4069
_cell_length_c 4.4069
_cell_angle_alpha 90.00
_cell_angle_beta 90.00
_cell_angle_gamma 90.00
_space_group_name_H-M_alt 'P m -3 m'
_space_group_IT_number 221
_space_group_name_Hall '-P 4 2 3'
loop_
_atom_site_label
_atom_site_fract_x
_atom_site_fract_y
_atom_site_fract_z
Cr1 0.0000 0.0000 0.0000
Ga1 0.0000 0.5000 0.5000
F1 0.5000 0.5000 0.5000
```

* DOS(E_F): 2.53 states/eV per cell
* E above lowest polymorph: 0.2617 eV per atom

=====

No. 7
Density functional theory data (PBE+U) for a relaxed CrGaF3 crystal.

Geometry as CIF:
```
data_CrGaF3
_chemical_formula_sum 'Cr2 Ga2 F6'
_cell_length_a 5.3908
_cell_length_b 5.4144
_cell_length_c 7.3471
_cell_angle_alpha 93.00
_cell_angle_beta 109.36
_cell_angle_gamma 113.52
_space_group_name_H-M_alt 'P -1'
_space_group_IT_number 2
_space_group_name_Hall '-P 1'
loop_
_atom_site_label
_atom_site_fract_x
_atom_site_fract_y
_atom_site_fract_z
Cr1 0.1710 0.3285 0.4987
Ga1 0.2884 0.8858 0.1448
F1 0.0398 0.5850 0.3380
F2 0.2866 0.0797 0.6701
F3 0.3755 0.2621 0.3272
```

* DOS(E_F): 0.00 states/eV per cell
* E above lowest polymorph: 0.0000 eV per atom

=====

No. 8
Density functional theory data (PBE+U) for a relaxed CrGa2F crystal.

Geometry as CIF:
```
data_CrGa2F
_chemical_formula_sum 'Cr4 Ga8 F4'
_cell_length_a 6.2778
_cell_length_b 6.2778
_cell_length_c 6.2778
_cell_angle_alpha 90.00
_cell_angle_beta 90.00
_cell_angle_gamma 90.00
_space_group_name_H-M_alt 'F m -3 m'
_space_group_IT_number 225
_space_group_name_Hall '-F 4 2 3'
loop_
_atom_site_label
_atom_site_fract_x
_atom_site_fract_y
_atom_site_fract_z
Cr1 0.0000 0.0000 0.0000
Ga1 0.2500 0.2500 0.2500
F1 0.0000 0.0000 0.5000
```

* DOS(E_F): 30.83 states/eV per cell
* E above lowest polymorph: 0.2443 eV per atom

=====

No. 9
Density functional theory data (PBE+U) for a relaxed CrGa2F6 crystal.

Geometry as CIF:
```
data_CrGa2F6
_chemical_formula_sum 'Cr2 Ga4 F12'
_cell_length_a 4.3861
_cell_length_b 10.6639
_cell_length_c 5.0493
_cell_angle_alpha 90.00
_cell_angle_beta 90.82
_cell_angle_gamma 90.00
_space_group_name_H-M_alt 'C 1 2/m 1'
_space_group_IT_number 12
_space_group_name_Hall '-C 2y'
loop_
_atom_site_label
_atom_site_fract_x
_atom_site_fract_y
_atom_site_fract_z
Cr1 0.0000 0.0000 0.0000
Ga1 0.0000 0.3342 0.5000
F1 0.2315 0.5000 0.6703
F2 0.2397 0.1288 0.8343
```

* DOS(E_F): 0.29 states/eV per cell
* DFT total energy: -4.9807 eV per atom

=====

No. 10
Density functional theory data (PBE+U) for a relaxed CrGa2F crystal.

Geometry as CIF:
```
data_CrGa2F
_chemical_formula_sum 'Cr4 Ga8 F4'
_cell_length_a 6.7033
_cell_length_b 6.7033
_cell_length_c 5.3776
_cell_angle_alpha 90.00
_cell_angle_beta 90.00
_cell_angle_gamma 90.00
_space_group_name_H-M_alt 'I -4 2 d'
_space_group_IT_number 122
_space_group_name_Hall 'I -4 2bw'
loop_
_atom_site_label
_atom_site_fract_x
_atom_site_fract_y
_atom_site_fract_z
Cr1 0.0000 0.0000 0.0000
Ga1 0.2168 0.2500 0.6250
F1 0.0000 0.0000 0.5000
```

* DOS(E_F): 9.49 states/eV per cell
* E above lowest polymorph: 0.0000 eV per atom

=====

No. 11
Density functional theory data (PBE+U) for a relaxed Cr2GaF crystal.

Geometry as CIF:
```
data_Cr2GaF
_chemical_formula_sum 'Cr8 Ga4 F4'
_cell_length_a 6.6106
_cell_length_b 6.6106
_cell_length_c 6.3246
_cell_angle_alpha 90.00
_cell_angle_beta 90.00
_cell_angle_gamma 90.00
_space_group_name_H-M_alt 'I -4 2 d'
_space_group_IT_number 122
_space_group_name_Hall 'I -4 2bw'
loop_
_atom_site_label
_atom_site_fract_x
_atom_site_fract_y
_atom_site_fract_z
Cr1 0.1975 0.2500 0.1250
Ga1 0.0000 0.0000 0.5000
F1 0.0000 0.0000 0.0000
```

* DOS(E_F): 5.77 states/eV per cell
* E above lowest polymorph: 0.0000 eV per atom

=====

No. 12
Density functional theory data (PBE+U) for a relaxed CrGaF5 crystal.

Geometry as CIF:
```
data_CrGaF5
_chemical_formula_sum 'Cr2 Ga2 F10'
_cell_length_a 3.8073
_cell_length_b 6.4061
_cell_length_c 7.7720
_cell_angle_alpha 90.00
_cell_angle_beta 90.00
_cell_angle_gamma 90.00
_space_group_name_H-M_alt 'I m m m'
_space_group_IT_number 71
_space_group_name_Hall '-I 2 2'
loop_
_atom_site_label
_atom_site_fract_x
_atom_site_fract_y
_atom_site_fract_z
Cr1 0.0000 0.0000 0.0000
Ga1 0.0000 0.0000 0.5000
F1 0.0000 0.0000 0.2553
F2 0.0000 0.2991 0.5000
F3 0.0000 0.5000 0.0000
```

* DOS(E_F): 0.00 states/eV per cell
* DFT total energy: -5.4219 eV per atom

=====

No. 13
Density functional theory data (PBE+U) for a relaxed CrGaF3 crystal.

Geometry as CIF:
```
data_CrGaF3
_chemical_formula_sum 'Cr1 Ga1 F3'
_cell_length_a 4.1993
_cell_length_b 4.1993
_cell_length_c 4.1993
_cell_angle_alpha 90.00
_cell_angle_beta 90.00
_cell_angle_gamma 90.00
_space_group_name_H-M_alt 'P m -3 m'
_space_group_IT_number 221
_space_group_name_Hall '-P 4 2 3'
loop_
_atom_site_label
_atom_site_fract_x
_atom_site_fract_y
_atom_site_fract_z
Cr1 0.0000 0.0000 0.0000
Ga1 0.5000 0.5000 0.5000
F1 0.0000 0.0000 0.5000
```

* DOS(E_F): 1.29 states/eV per cell
* E above lowest polymorph: 0.1191 eV per atom

=====

No. 14
Density functional theory data (PBE+U) for a relaxed Cr3GaF crystal.

Geometry as CIF:
```
data_Cr3GaF
_chemical_formula_sum 'Cr3 Ga1 F1'
_cell_length_a 4.4996
_cell_length_b 4.4996
_cell_length_c 4.4996
_cell_angle_alpha 90.00
_cell_angle_beta 90.00
_cell_angle_gamma 90.00
_space_group_name_H-M_alt 'P m -3 m'
_space_group_IT_number 221
_space_group_name_Hall '-P 4 2 3'
loop_
_atom_site_label
_atom_site_fract_x
_atom_site_fract_y
_atom_site_fract_z
Cr1 0.0000 0.0000 0.5000
Ga1 0.5000 0.5000 0.5000
F1 0.0000 0.0000 0.0000
```

* DOS(E_F): 1.93 states/eV per cell
* E above lowest polymorph: 0.0000 eV per atom

=====

No. 15
Density functional theory data (PBE+U) for a relaxed Cr3GaF crystal.

Geometry as CIF:
```
data_Cr3GaF
_chemical_formula_sum 'Cr3 Ga1 F1'
_cell_length_a 4.9581
_cell_length_b 4.9581
_cell_length_c 4.9581
_cell_angle_alpha 90.00
_cell_angle_beta 90.00
_cell_angle_gamma 90.00
_space_group_name_H-M_alt 'P m -3 m'
_space_group_IT_number 221
_space_group_name_Hall '-P 4 2 3'
loop_
_atom_site_label
_atom_site_fract_x
_atom_site_fract_y
_atom_site_fract_z
Cr1 0.0000 0.0000 0.5000
Ga1 0.0000 0.0000 0.0000
F1 0.5000 0.5000 0.5000
```

* DOS(E_F): 2.49 states/eV per cell
* E above lowest polymorph: 0.5437 eV per atom

=====

No. 16
Density functional theory data (PBE+U) for a relaxed CrGaI2F crystal.

Geometry as CIF:
```
data_CrGaI2F
_chemical_formula_sum 'Cr1 Ga1 I2 F1'
_cell_length_a 5.9028
_cell_length_b 5.9028
_cell_length_c 4.0128
_cell_angle_alpha 90.00
_cell_angle_beta 90.00
_cell_angle_gamma 90.00
_space_group_name_H-M_alt 'P 4/m m m'
_space_group_IT_number 123
_space_group_name_Hall '-P 4 2'
loop_
_atom_site_label
_atom_site_fract_x
_atom_site_fract_y
_atom_site_fract_z
Cr1 0.0000 0.0000 0.0000
Ga1 0.5000 0.5000 0.5000
I1 0.0000 0.5000 0.0000
F1 0.0000 0.0000 0.5000
```

* DOS(E_F): 0.56 states/eV per cell
* DFT total energy: -4.0821 eV per atom

=====

No. 17
Density functional theory data (PBE+U) for a relaxed K2CrGaF6 crystal.

Geometry as CIF:
```
data_K2CrGaF6
_chemical_formula_sum 'K4 Cr2 Ga2 F12'
_cell_length_a 6.1666
_cell_length_b 8.7707
_cell_length_c 6.2465
_cell_angle_alpha 90.00
_cell_angle_beta 90.00
_cell_angle_gamma 90.00
_space_group_name_H-M_alt 'P m m n'
_space_group_IT_number 59
loop_
_space_group_symop_operation_xyz
'x,y,z'
'-x,-y,-z'
'-x+1/2,-y+1/2,z'
'x+1/2,y+1/2,-z'
'x+1/2,-y,-z'
'-x+1/2,y,z'
'-x,y+1/2,-z'
'x,-y+1/2,z'
loop_
_atom_site_label
_atom_site_fract_x
_atom_site_fract_y
_atom_site_fract_z
K1 0.2500 0.0034 0.2444
Cr1 0.2500 0.7500 0.7607
Ga1 0.2500 0.2500 0.7425
F1 0.0247 0.7500 0.5411
F2 0.0257 0.7500 0.9828
F3 0.2500 0.5271 0.7636
```

* DOS(E_F): 0.00 states/eV per cell
* DFT total energy: -4.9797 eV per atom

=====

No. 18
Density functional theory data (PBE+U) for a relaxed K2CrGaF8 crystal.

Geometry as CIF:
```
data_K2CrGaF8
_chemical_formula_sum 'K2 Cr1 Ga1 F8'
_cell_length_a 5.3711
_cell_length_b 5.7126
_cell_length_c 6.3545
_cell_angle_alpha 89.74
_cell_angle_beta 89.72
_cell_angle_gamma 88.71
_space_group_name_H-M_alt 'P -1'
_space_group_IT_number 2
_space_group_name_Hall '-P 1'
loop_
_atom_site_label
_atom_site_fract_x
_atom_site_fract_y
_atom_site_fract_z
K1 0.0004 0.0000 0.2490
Cr1 0.5000 0.5000 0.5000
Ga1 0.5000 0.5000 0.0000
F1 0.2713 0.7579 0.5000
F2 0.2797 0.7481 0.9997
F3 0.3228 0.3601 0.2529
F4 0.3229 0.3598 0.7496
```

* DOS(E_F): 0.00 states/eV per cell
* DFT total energy: -5.0334 eV per atom

=====

No. 19
Density functional theory data (PBE+U) for a relaxed KCr2GaF crystal.

Geometry as CIF:
```
data_KCr2GaF
_chemical_formula_sum 'K1 Cr2 Ga1 F1'
_cell_length_a 5.9823
_cell_length_b 5.9823
_cell_length_c 4.4903
_cell_angle_alpha 90.00
_cell_angle_beta 90.00
_cell_angle_gamma 90.00
_space_group_name_H-M_alt 'P 4/m m m'
_space_group_IT_number 123
_space_group_name_Hall '-P 4 2'
loop_
_atom_site_label
_atom_site_fract_x
_atom_site_fract_y
_atom_site_fract_z
K1 0.0000 0.0000 0.0000
Cr1 0.0000 0.5000 0.0000
Ga1 0.5000 0.5000 0.5000
F1 0.0000 0.0000 0.5000
```

* DOS(E_F): 1.36 states/eV per cell
* DFT total energy: -3.8546 eV per atom

=====

No. 20
Density functional theory data (PBE+U) for a relaxed K2CrGaF crystal.

Geometry as CIF:
```
data_K2CrGaF
_chemical_formula_sum 'K2 Cr1 Ga1 F1'
_cell_length_a 6.7832
_cell_length_b 6.7832
_cell_length_c 4.3292
_cell_angle_alpha 90.00
_cell_angle_beta 90.00
_cell_angle_gamma 90.00
_space_group_name_H-M_alt 'P 4/m m m'
_space_group_IT_number 123
_space_group_name_Hall '-P 4 2'
loop_
_atom_site_label
_atom_site_fract_x
_atom_site_fract_y
_atom_site_fract_z
K1 0.0000 0.5000 0.0000
Cr1 0.0000 0.0000 0.5000
Ga1 0.5000 0.5000 0.0000
F1 0.5000 0.5000 0.5000
```

* DOS(E_F): 3.29 states/eV per cell
* DFT total energy: -3.1054 eV per atom